KSr2Cd: relaxed, PBE.

Calculated values
Formation energy from the elements, kJ/mol of atoms: -1

```
KSr2Cd
1.0
7.533 -2.097 0.000
7.533 2.097 0.000
-3.158 0.000 6.176
K Sr Cd
1 2 1
Cartesian
0.000 0.000 0.000
0.846 0.000 4.348
11.061 0.000 1.828
5.954 0.000 3.088
```


KSr2Cd: relaxed, PBE.

Calculated values
Formation energy from the elements, kJ/mol of atoms: -5

```
KSr2Cd
1.0
4.251 0.000 0.000
0.000 4.204 0.000
-0.016 0.000 10.695
K Sr Cd
1 2 1
Cartesian
0.000 0.000 0.000
2.121 2.102 3.543
4.237 0.000 6.571
2.110 2.102 8.287
```


K2SrCd: relaxed, PBE.

Calculated values
Formation energy from the elements, kJ/mol of atoms: 12

```
K2SrCd
1.0
3.789 -6.183 0.000
3.789 6.183 0.000
0.000 0.000 4.358
K Sr Cd
2 1 1
Cartesian
1.894 3.091 0.000
1.894 -3.091 0.000
0.000 0.000 2.179
3.789 0.000 2.179
```


K2SrCd: relaxed, PBE.

Calculated values
Formation energy from the elements, kJ/mol of atoms: 5

```
K2SrCd
1.0
5.125 0.000 0.000
0.000 5.585 0.000
0.000 0.000 6.583
K Sr Cd
2 1 1
Cartesian
0.000 0.000 0.000
2.562 2.792 0.000
0.000 2.792 3.292
2.562 0.000 3.292
```


Please write out number 2 again, unchanged.
KSr2Cd: relaxed, PBE.

Calculated values
Formation energy from the elements, kJ/mol of atoms: -5

```
KSr2Cd
1.0
4.251 0.000 0.000
0.000 4.204 0.000
-0.016 0.000 10.695
K Sr Cd
1 2 1
Cartesian
0.000 0.000 0.000
2.121 2.102 3.543
4.237 0.000 6.571
2.110 2.102 8.287
```